Entry 1:
{"formula": "LiTiPO5", "functional": "GGA-PBEsol", "state": "relaxed", "e_form_raw_kcal_per_mol_atoms": -60.77, "dos_at_fermi_per_ev_atom": 0.000, "total_energy_ev_per_atom": -7.926, "sg": "Pnma", "cell": [[-5.1128, -2.6815, 2.7430], [0.8095, -5.8467, -4.2066], [4.3346, -3.0604, 5.0877]], "species": ["Li", "Li", "Li", "Li", "Ti", "Ti", "Ti", "Ti", "P", "P", "P", "P", "O", "O", "O", "O", "O", "O", "O", "O", "O", "O", "O", "O", "O", "O", "O", "O", "O", "O", "O", "O"], "frac_coords": [[0.0000, 0.0000, 0.0000], [0.5000, 0.5000, 0.5000], [0.0000, 0.5000, 0.5000], [0.5000, 0.0000, 0.0000], [0.7500, 0.2785, 0.8364], [0.2500, 0.7215, 0.1636], [0.2500, 0.7785, 0.6636], [0.7500, 0.2215, 0.3364], [0.2500, 0.3713, 0.8739], [0.7500, 0.6287, 0.1261], [0.7500, 0.8713, 0.6261], [0.2500, 0.1287, 0.3739], [0.9441, 0.7458, 0.6281], [0.5559, 0.7542, 0.1281], [0.0559, 0.2458, 0.8719], [0.4441, 0.2542, 0.3719], [0.0559, 0.2542, 0.3719], [0.5559, 0.7458, 0.6281], [0.9441, 0.7542, 0.1281], [0.4441, 0.2458, 0.8719], [0.7500, 0.1571, 0.1094], [0.2500, 0.8429, 0.8906], [0.2500, 0.6571, 0.3906], [0.7500, 0.3429, 0.6094], [0.7500, 0.9984, 0.7957], [0.2500, 0.0016, 0.2043], [0.2500, 0.4984, 0.7043], [0.7500, 0.5016, 0.2957], [0.2500, 0.4862, 0.0503], [0.7500, 0.5138, 0.9497], [0.7500, 0.9862, 0.4497], [0.2500, 0.0138, 0.5503]]}



Entry 2:
{"formula": "LaHf2Sn2", "functional": "GGA-PBEsol", "state": "relaxed", "formation_enthalpy_0k_ev_per_atom": -0.46, "dos_at_fermi_per_ev_atom": 1.148, "total_energy_ev_per_atom": -7.436, "sg": "I4/mmm", "cell": [[-3.9176, -1.6534, -0.9710], [0.6599, -3.2364, 2.8485], [-1.1273, 6.1369, 3.8946]], "species": ["Hf", "Hf", "Sn", "Sn", "La"], "frac_coords": [[0.2500, 0.7500, 0.5000], [0.7500, 0.2500, 0.5000], [0.3942, 0.3942, 0.7884], [0.6058, 0.6058, 0.2116], [0.0000, 0.0000, 0.0000]]}



Entry 3:
{"formula": "CaTaRh2", "functional": "GGA-PBEsol", "state": "relaxed", "formation_enthalpy_0k_ev_per_atom": -0.45, "dos_at_fermi_per_ev_atom": 0.657, "total_energy_ev_per_atom": -8.192, "sg": "P4/mmm", "cell": [[3.1240, 0.0000, 0.0000], [0.0000, 3.1240, 0.0000], [0.0000, 0.0000, 7.2922]], "species": ["Ca", "Rh", "Rh", "Ta"], "frac_coords": [[0.5000, 0.5000, 0.5000], [0.0000, 0.0000, 0.7980], [0.0000, 0.0000, 0.2020], [0.5000, 0.5000, 0.0000]]}



Entry 4:
{"formula": "ZrBeRu2C", "functional": "GGA-PBEsol", "state": "relaxed", "formation_enthalpy_0k_ev_per_atom": 0.58, "dos_at_fermi_per_ev_atom": 0.384, "total_energy_ev_per_atom": -8.035, "sg": "P4/mmm", "cell": [[3.3317, 0.0000, 0.0000], [0.0000, 4.3363, 0.0000], [0.0000, 0.0000, 4.3363]], "species": ["Ru", "Ru", "C", "Zr", "Be"], "frac_coords": [[0.0000, 0.0000, 0.5000], [0.0000, 0.5000, 0.0000], [0.5000, 0.0000, 0.0000], [0.5000, 0.5000, 0.5000], [0.0000, 0.0000, 0.0000]]}



Entry 5:
{"formula": "Li2ZrMn", "functional": "GGA-PBEsol", "state": "relaxed", "formation_enthalpy_0k_ev_per_atom": 0.26, "dos_at_fermi_per_ev_atom": 0.623, "total_energy_ev_per_atom": -5.437, "sg": "Immm", "cell": [[-0.2987, -2.2121, 2.0691], [3.8593, 0.7273, 1.3348], [-3.5739, 4.1160, 1.6459]], "species": ["Li", "Li", "Mn", "Zr"], "frac_coords": [[0.7713, 0.7713, 0.5425], [0.2287, 0.2287, 0.4575], [0.5000, 0.0000, 0.0000], [0.0000, 0.5000, 0.0000]]}



Entry 6:
{"formula": "CdHgP2", "functional": "GGA-PBEsol", "state": "relaxed", "formation_enthalpy_0k_ev_per_atom": 0.50, "dos_at_fermi_per_ev_atom": 0.436, "total_energy_ev_per_atom": -2.840, "sg": "Immm", "cell": [[3.7716, 0.0000, 0.0000], [1.8858, 4.6960, 0.0566], [1.8858, 1.7803, 4.3458]], "species": ["Cd", "Hg", "P", "P"], "frac_coords": [[0.5000, 0.0000, 0.0000], [0.0000, 0.5000, 0.5000], [0.2581, 0.7419, 0.7419], [0.7419, 0.2581, 0.2581]]}